Entry 1:
# RbGaCl3

A relaxed structure of RbGaCl3 (PBE, Alexandria).

Geometry as extended XYZ:
```
20
Lattice="7.744 0.000 0.000 0.000 8.723 0.000 -6.762 0.000 10.508" Properties=species:S:1:pos:R:3 pbc="T T T"
Rb -0.007 1.141 2.679
Rb -3.388 3.220 7.933
Rb 4.369 5.503 2.575
Rb 0.988 7.582 7.828
Ga 0.572 5.200 0.658
Ga -2.809 7.885 5.912
Ga 3.791 0.838 4.596
Ga 0.410 3.523 9.850
Cl -6.014 1.674 9.635
Cl -2.633 2.687 4.381
Cl -4.292 5.953 10.198
Cl -0.911 7.132 4.944
Cl 1.125 4.537 2.734
Cl -2.256 8.548 7.988
Cl 3.238 0.175 2.519
Cl -0.143 4.186 7.773
Cl 1.893 1.591 5.563
Cl 5.274 2.770 0.309
Cl 3.615 6.036 6.126
Cl 6.996 7.049 0.872
```

Output
E = -3.39 eV/atom
total moment = 0.0 μB/f.u.
DOS(E_F) = 0.000 states/eV per atom
crystal system = monoclinic
energy relative to the elements, uncorrected = -717 kJ/mol of formula units

***

Entry 2:
# LiLa2Ga4Au3

A relaxed structure of LiLa2Ga4Au3 (PBE, Alexandria).

Geometry as extended XYZ:
```
10
Lattice="4.451 0.000 0.000 0.000 4.451 0.000 0.000 0.000 10.665" Properties=species:S:1:pos:R:3 pbc="T T T"
Li 0.000 0.000 0.000
La 0.000 2.225 7.988
La 2.225 0.000 2.678
Ga 0.000 0.000 5.333
Ga 0.000 2.225 1.378
Ga 2.225 0.000 9.287
Ga 2.225 2.225 5.333
Au 0.000 2.225 3.919
Au 2.225 0.000 6.746
Au 2.225 2.225 0.000
```

Output
E = -4.02 eV/atom
E_form = -6.47 eV per formula unit
total moment = 0.0 μB/f.u.
DOS(E_F) = 0.552 states/eV per atom
crystal system = tetragonal

***

Entry 3:
# Sm2PBr2

A relaxed structure of Sm2PBr2 (PBE, Alexandria).

Geometry as extended XYZ:
```
5
Lattice="2.052 1.184 10.683 -2.052 1.184 10.683 0.000 -2.369 10.683" Properties=species:S:1:pos:R:3 pbc="T T T"
Sm 0.000 0.000 3.774
Sm 0.000 0.000 28.274
P 0.000 0.000 16.024
Br 0.000 0.000 8.762
Br 0.000 0.000 23.286
```

Output
E = -5.41 eV/atom
total moment = 0.0 μB/f.u.
DOS(E_F) = 0.372 states/eV per atom
crystal system = trigonal
energy relative to the elements, uncorrected = -857 kJ/mol of formula units

***

Entry 4:
# ScZnBr

A relaxed structure of ScZnBr (PBE, Alexandria).

Geometry as extended XYZ:
```
3
Lattice="-1.699 1.699 6.333 1.699 -1.699 6.333 1.699 1.699 -6.333" Properties=species:S:1:pos:R:3 pbc="T T T"
Sc 0.000 0.000 0.000
Zn 0.000 0.000 4.718
Br 0.000 0.000 7.941
```

Output
E = -3.60 eV/atom
total moment = 0.0 μB/f.u.
DOS(E_F) = 0.914 states/eV per atom
crystal system = tetragonal
energy relative to the elements, uncorrected = -147 kJ/mol of formula units

***

Entry 5:
# HgPtW2

A relaxed structure of HgPtW2 (PBE, Alexandria).

Geometry as extended XYZ:
```
8
Lattice="-3.705 3.705 2.718 3.705 -3.705 2.718 3.705 3.705 -2.718" Properties=species:S:1:pos:R:3 pbc="T T T"
Hg 0.000 0.000 0.000
Hg 0.000 3.705 1.359
Pt 3.705 0.000 1.359
Pt 0.000 0.000 2.718
W 1.852 2.050 -0.680
W 5.360 1.852 0.680
W 1.852 1.655 2.039
W -1.655 1.852 3.398
```

Output
E = -7.10 eV/atom
E_form = 3.84 eV per formula unit
total moment = 0.0 μB/f.u.
DOS(E_F) = 0.637 states/eV per atom
crystal system = tetragonal

***

Entry 6:
# NiTe2As

A relaxed structure of NiTe2As (PBE, Alexandria).

Geometry as extended XYZ:
```
4
Lattice="2.024 -2.335 0.000 2.024 2.335 0.000 0.000 0.000 9.856" Properties=species:S:1:pos:R:3 pbc="T T T"
Ni 0.000 0.000 0.000
Te 0.000 0.000 5.465
Te 2.024 0.000 1.924
As 2.024 0.000 8.547
```

Output
E = -4.06 eV/atom
total moment = 0.0 μB/f.u.
DOS(E_F) = 0.539 states/eV per atom
crystal system = orthorhombic
energy relative to the elements, uncorrected = 46 kJ/mol of formula units

***

Which value of total moment does entry 5 give? 0.0 μB/f.u.

***

Among the records above, which one has the lowest DOS(E_F)? RbGaCl3